No. 1
First-principles (PBE-GGA) data for a relaxed structure of ErNpCuOs, as listed in Alexandria.

abc: 4.8163 4.8163 4.8163
angles: 60.00 60.00 60.00
Last column: magnetic moment on the atom in μB.
Sites, in units of the cell vectors:
1 Er 0.7500 0.7500 0.7500  0.18
2 Os 0.5000 0.5000 0.5000  -0.22
3 Cu 0.0000 0.0000 0.0000  0.03
4 Np 0.2500 0.2500 0.2500  3.67

M_tot (μB/f.u.): 3.97
Formation energy (eV per formula unit): 0.19
SG: F-43m (216)
Crystal system: cubic

---

No. 2
First-principles (PBE-GGA) data for a relaxed structure of HOsCN, as listed in Alexandria.

abc: 3.8203 2.8900 7.4235
angles: 90.00 114.57 90.00
Sites, in units of the cell vectors:
1 H 0.1980 0.5000 0.3822
2 H 0.1980 0.0000 0.8822
3 C 0.5972 0.5000 0.8928
4 C 0.5972 0.0000 0.3928
5 Os 0.3175 0.5000 0.1926
6 Os 0.3175 0.0000 0.6926
7 N 0.7476 0.0000 0.5864
8 N 0.7476 0.5000 0.0864

M_tot (μB/f.u.): 0.00
SG: Cm (8)
Crystal system: monoclinic
Excess energy over the best structure of this formula in the dataset (meV/atom): 292.1

---

No. 3
First-principles (PBE-GGA) data for a relaxed structure of CeTa2FeN4, as listed in Alexandria.

abc: 3.1470 5.5941 10.8350
angles: 90.00 90.00 106.34
Sites, in units of the cell vectors:
1 Fe 0.1588 0.3177 0.2500
2 Fe 0.8412 0.6823 0.7500
3 N 0.5570 0.1140 0.2500
4 N 0.2712 0.5424 0.3886
5 N 0.0000 0.0000 0.5000
6 N 0.0000 0.0000 0.0000
7 N 0.4430 0.8860 0.7500
8 N 0.7288 0.4576 0.6114
9 N 0.7288 0.4576 0.8886
10 N 0.2712 0.5424 0.1114
11 Ta 0.3681 0.7362 0.5576
12 Ta 0.6319 0.2638 0.0576
13 Ta 0.3681 0.7362 0.9424
14 Ta 0.6319 0.2638 0.4424
15 Ce 0.1065 0.2131 0.7500
16 Ce 0.8935 0.7869 0.2500

M_tot (μB/f.u.): 0.00
SG: Cmcm (63)
Crystal system: orthorhombic
Formation energy without anion corrections (eV per formula unit): -8.50

---

No. 4
First-principles (PBE-GGA) data for a relaxed structure of NbV2C, as listed in Alexandria.

abc: 3.1068 4.7255 6.9461
angles: 90.00 90.00 109.20
Sites, in units of the cell vectors:
1 V 0.3439 0.6879 0.5571
2 V 0.6561 0.3121 0.4429
3 V 0.3439 0.6879 0.9429
4 V 0.6561 0.3121 0.0571
5 Nb 0.9560 0.9118 0.2500
6 Nb 0.0440 0.0882 0.7500
7 C 0.2399 0.4802 0.2500
8 C 0.7601 0.5198 0.7500

M_tot (μB/f.u.): 0.00
Formation energy (eV per formula unit): -1.35
SG: Cmcm (63)
Crystal system: orthorhombic